VASP calculation (PBE) on an optimized crystal structure of Y3TaMo.

Cell lengths 5.407, 5.407, 5.407 Å; angles 90.00, 90.00, 90.00 degrees
Positions (direct):
Y  0.000  0.000  0.500
Y  0.000  0.500  0.000
Y  0.500  0.000  0.000
Ta  0.000  0.000  0.000
Mo  0.500  0.500  0.500

Values from the calculation:
Energy of formation from the pure elements: 1.290 eV per atom
D(E_F): 3.2 states/eV/f.u.
Crystal system: cubic
ΔE to the lowest computed polymorph: 174.1 meV per atom